First-principles (PBE+U) data for crystalline NpV3O9 at its relaxed geometry, as listed in the Alexandria database.

a = 8.497 Å, b = 8.497 Å, c = 10.880 Å
α = 122.24°, β = 122.24°, γ = 51.70°
Fractional coordinates of all 26 atoms:
Np1 0.248 0.752 0.500
Np2 0.752 0.248 0.000
V1 0.207 0.298 0.752
V2 0.298 0.207 0.252
V3 0.537 0.730 0.325
V4 0.730 0.537 0.825
V5 0.758 0.965 0.172
V6 0.965 0.758 0.672
O1 0.008 0.389 0.816
O2 0.065 0.231 0.103
O3 0.096 0.834 0.650
O4 0.138 0.497 0.691
O5 0.231 0.065 0.603
O6 0.253 0.445 0.395
O7 0.383 0.676 0.355
O8 0.389 0.008 0.316
O9 0.445 0.253 0.895
O10 0.497 0.138 0.191
O11 0.535 0.636 0.661
O12 0.636 0.535 0.161
O13 0.676 0.383 0.855
O14 0.744 0.758 0.009
O15 0.758 0.744 0.509
O16 0.834 0.096 0.150
O17 0.877 0.936 0.830
O18 0.936 0.877 0.330

- V (Å³ per cell) = 496.5
- DOS(E_F) (states/eV per cell) = 12.443
- uncorrected energy (eV per atom) = -8.29
- symmetry = Cc (9)